# Sm2HoSb2

A relaxed Sm2HoSb2 crystal (PBE-GGA, Alexandria via LeMat-Bulk).

## Properties
Its calculated density is 7.4 g/cm3. The calculation puts the total magnetic moment at 0.0 μB/f.u. For the uncorrected formation energy, the calculation gives -4.17 eV per formula unit.

Unit cell a=6.3248 b=8.5145 c=7.9382 alpha=122.43 beta=113.48 gamma=90.00
Last column: nearest neighbours and their distance in Å.
Atoms (fractional coordinates):
Sb (0.3920, 0.6725, 0.7841)  5 Sm 3.07-3.27, 2 Ho 3.13
Sb (0.8920, 0.1116, 0.7841)  5 Sm 3.07-3.27, 2 Ho 3.13
Sb (0.6080, 0.3275, 0.2159)  5 Sm 3.07-3.27, 2 Ho 3.13
Sb (0.1080, 0.8884, 0.2159)  5 Sm 3.07-3.27, 2 Ho 3.13
Sm (0.8483, 0.7048, 0.6966)  5 Sb 3.07-3.27
Sm (0.3483, 0.9918, 0.6966)  5 Sb 3.07-3.27
Sm (0.6517, 0.0082, 0.3034)  5 Sb 3.07-3.27
Sm (0.1517, 0.2952, 0.3034)  5 Sb 3.07-3.27
Ho (0.2500, 0.5000, 0.0000)  4 Sb 3.13, 2 Ho 3.16
Ho (0.7500, 0.5000, 0.0000)  4 Sb 3.13, 2 Ho 3.16